Record 1
Compound: Pm6Ho2Tm
Source: Alexandria via LeMat-Bulk
Functional: PBE-GGA
Structure: relaxed

Cell lengths 16.336, 11.771, 6.215 Å; angles 90.00, 96.03, 90.00 degrees
Space group C2/c (No. 15)
One atom of each set of equivalent atoms:
Pm 0.047 0.141 0.014 x8
Pm 0.118 0.359 0.320 x8
Pm 0.213 0.359 0.847 x8
Ho 0.167 0.099 0.582 x8
Tm 0.000 0.401 0.750 x4

Calculated values
M_tot   0.00 μB per formula unit
E above lowest polymorph   0.000 eV per atom
Fermi-level density of states   49.56 states/eV per cell



Record 2
Compound: Pm2Ho4Tm5
Source: Alexandria via LeMat-Bulk
Functional: PBE-GGA
Structure: relaxed

Cell lengths 3.529, 8.644, 11.702 Å; angles 75.82, 81.37, 89.97 degrees
Space group P-1 (No. 2)
One atom of each set of equivalent atoms:
Pm 0.092 0.229 0.317 x2
Ho 0.182 0.954 0.136 x2
Ho 0.454 0.139 0.593 x2
Tm 0.000 0.500 0.500 x1
Tm 0.271 0.681 0.956 x2
Tm 0.364 0.408 0.774 x2

Calculated values
M_tot   0.00 μB per formula unit
E above lowest polymorph   0.000 eV per atom
Fermi-level density of states   14.66 states/eV per cell



no.,mass density (g/cm3)
1,7.7
2,8.7